This record from Alexandria describes crystalline PWO2F at its relaxed geometry. The functional is GGA+U.

Computed properties:
Its total magnetization is 1.0 μB per cell. As for the total energy: -20.4 eV for the cell shown.

POSCAR file:
```
PWO2F
1.0
4.083 0.000 0.000
0.000 4.083 0.000
0.000 0.000 3.475
P W O F
1 1 2 1
direct
0.000 0.000 0.000 P
0.500 0.500 0.000 W
0.000 0.500 0.500 O
0.500 0.000 0.500 O
0.000 0.000 0.500 F
```